# 1
This record from the Open Quantum Materials Database describes crystalline ZnSnAs at its relaxed geometry. The functional is PBE-GGA.

abc: 5.8350 3.9307 11.8532
angles: 90.00 90.00 90.00
Fractional positions:
Zn (0.2425, 0.2500, 0.2274)
Zn (0.2575, 0.7500, 0.7274)
Zn (0.7425, 0.2500, 0.2726)
Zn (0.7575, 0.7500, 0.7726)
Sn (0.2466, 0.2500, 0.9086)
Sn (0.2534, 0.7500, 0.4086)
Sn (0.7466, 0.2500, 0.5914)
Sn (0.7534, 0.7500, 0.0914)
As (0.2478, 0.2500, 0.5910)
As (0.2522, 0.7500, 0.0910)
As (0.7478, 0.2500, 0.9090)
As (0.7522, 0.7500, 0.4090)

## Properties
- calculated volume (Å³/f.u.) = 67.96
- relative energy among the computed polymorphs (meV per atom) = 0

=====

# 2
This record from the Open Quantum Materials Database describes crystalline ZnSnAs at its relaxed geometry. The functional is PBE-GGA.

abc: 9.2063 4.1054 7.5525
angles: 90.00 90.00 90.00
Fractional positions:
Zn (0.0116, 0.2500, 0.1329)
Zn (0.4884, 0.7500, 0.6329)
Zn (0.5116, 0.2500, 0.3671)
Zn (0.9884, 0.7500, 0.8671)
Sn (0.1389, 0.2500, 0.4638)
Sn (0.3611, 0.7500, 0.9638)
Sn (0.6389, 0.2500, 0.0362)
Sn (0.8611, 0.7500, 0.5362)
As (0.1714, 0.2500, 0.8515)
As (0.3286, 0.7500, 0.3515)
As (0.6714, 0.2500, 0.6485)
As (0.8286, 0.7500, 0.1485)

## Properties
- calculated volume (Å³/f.u.) = 71.36
- relative energy among the computed polymorphs (meV per atom) = 4

=====

# 3
This record from the Open Quantum Materials Database describes crystalline ZnSn2As2 at its relaxed geometry. The functional is PBE-GGA.

abc: 7.5935 7.5935 8.2678
angles: 90.00 90.00 148.10
Fractional positions:
Zn (0.0994, 0.9006, 0.5000)
Zn (0.9006, 0.0994, 0.0000)
Sn (0.3261, 0.6739, 0.3382)
Sn (0.4095, 0.5905, 0.6805)
Sn (0.5905, 0.4095, 0.1805)
Sn (0.6739, 0.3261, 0.8382)
As (0.0242, 0.9758, 0.7726)
As (0.2990, 0.7010, 0.9565)
As (0.7010, 0.2990, 0.4565)
As (0.9758, 0.0242, 0.2726)

## Properties
- electronic total energy (eV/cell) = -37.6
- calculated volume (Å³/f.u.) = 125.94

=====

# 4
This record from the Open Quantum Materials Database describes crystalline ZnSn2As at its relaxed geometry. The functional is PBE-GGA.

abc: 5.0687 5.0687 5.0687
angles: 60.00 60.00 60.00
Fractional positions:
Zn (0.0000, 0.0000, 0.0000)
Sn (0.2500, 0.2500, 0.2500)
Sn (0.5000, 0.5000, 0.5000)
As (0.7500, 0.7500, 0.7500)

## Properties
- electronic total energy (eV/cell) = -13.1
- calculated volume (Å³/f.u.) = 92.08